V2ZnP: relaxed, PBE.

```
V2ZnP
1.0
2.8909 0.0000 0.0000
0.0000 2.8909 0.0000
0.0000 0.0000 6.4020
V Zn P
2 1 1
Direct
0.0000 0.0000 0.2132
0.0000 0.0000 0.7868
0.5000 0.5000 0.5000
0.5000 0.5000 0.0000
```

Output
Total moment   0.00 μB per formula unit
ΔH_f (0 K)   -22.2 kJ/mol of atoms
Space group   P4/mmm (123)
Mass density   6.15 g/cm³
Crystal system   tetragonal
Energy   -6.460 eV/atom